Entry from the Open Quantum Materials Database: an optimized crystal structure of TbLuNO (GGA-PBE).

a = 3.954 Å, b = 6.786 Å, c = 4.815 Å
α = 90.00°, β = 90.00°, γ = 90.00°
Space group Pmc2_1 (No. 26)
One atom of each set of equivalent atoms:
Tb: 0.000 0.161 0.000 x2
Lu: 0.500 0.327 0.500 x2
N: 0.000 0.179 0.500 x2
O: 0.500 0.348 0.999 x2

Values from the calculation:
- energy above the lowest structure with this stoichiometry (meV/atom) = 79